Entry 1:
Material: AsWCl3
Method: DFT, PBE
State: relaxed

Output
Raw formation energy ... 1.058 eV per atom
DOS(E_F) ... 2.472 states/eV/atom
Excess energy over the best structure of this formula in the dataset ... 1.304 eV/atom
Density ... 4.61 g cm⁻³

abc: 5.0858 5.0858 5.0858
angles: 90.00 90.00 90.00
Last column: nearest neighbours and their distance in Å.
Space group Pm-3m (No. 221)
One atom of each set of equivalent atoms:
As 0.0000 0.0000 0.0000 x1  6 Cl 2.54
W 0.5000 0.5000 0.5000 x1  12 Cl 3.60
Cl 0.0000 0.0000 0.5000 x3  2 As 2.54

=====

Entry 2:
Material: AsWCl4
Method: DFT, PBE
State: relaxed

Output
Raw formation energy ... 1.469 eV per atom
DOS(E_F) ... 1.333 states/eV/atom
Density ... 5.33 g cm⁻³

abc: 7.9339 7.9339 7.9339
angles: 90.00 90.00 90.00
Last column: nearest neighbours and their distance in Å.
Space group F-43m (No. 216)
One atom of each set of equivalent atoms:
As 0.0000 0.0000 0.0000 x4  12 Cl 3.29, 4 W 3.44
W 0.2500 0.2500 0.2500 x4  12 Cl 3.29, 4 As 3.44
Cl 0.1243 0.1243 0.6243 x16  6 Cl 2.79-2.82

=====

Entry 3:
Material: As4W2Cl
Method: DFT, PBE
State: relaxed

Output
Raw formation energy ... 1.024 eV per atom
DOS(E_F) ... 0.898 states/eV/atom
Density ... 7.09 g cm⁻³

abc: 4.8783 4.8783 13.8427
angles: 90.00 90.00 90.00
Last column: nearest neighbours and their distance in Å.
Space group I4/mmm (No. 139)
One atom of each set of equivalent atoms:
As 0.0000 0.0000 0.2365 x4  1 W 2.41
As 0.0000 0.5000 0.0000 x4  2 Cl 2.44
W 0.0000 0.0000 0.4106 x4  1 As 2.41, 1 W 2.48
Cl 0.0000 0.0000 0.0000 x2  4 As 2.44

=====

Entry 4:
Material: AsWCl3
Method: DFT, PBE
State: relaxed

Output
Raw formation energy ... 0.448 eV per atom
DOS(E_F) ... 0.794 states/eV/atom
Excess energy over the best structure of this formula in the dataset ... 0.693 eV/atom
Density ... 5.23 g cm⁻³

abc: 4.8763 4.8763 4.8763
angles: 90.00 90.00 90.00
Last column: nearest neighbours and their distance in Å.
Space group Pm-3m (No. 221)
One atom of each set of equivalent atoms:
As 0.0000 0.0000 0.0000 x1  12 Cl 3.45
W 0.5000 0.5000 0.5000 x1  6 Cl 2.44
Cl 0.0000 0.5000 0.5000 x3  2 W 2.44

=====

Please write out number 2 again, unchanged.
Material: AsWCl4
Method: DFT, PBE
State: relaxed

Output
Raw formation energy ... 1.469 eV per atom
DOS(E_F) ... 1.333 states/eV/atom
Density ... 5.33 g cm⁻³

abc: 7.9339 7.9339 7.9339
angles: 90.00 90.00 90.00
Last column: nearest neighbours and their distance in Å.
Space group F-43m (No. 216)
One atom of each set of equivalent atoms:
As 0.0000 0.0000 0.0000 x4  12 Cl 3.29, 4 W 3.44
W 0.2500 0.2500 0.2500 x4  12 Cl 3.29, 4 As 3.44
Cl 0.1243 0.1243 0.6243 x16  6 Cl 2.79-2.82